The following is a DFT calculation (GGA-PBE) of an optimized crystal structure of GdHg2S. Values from VASP.

```
&SYSTEM
  ibrav = 0, nat = 12, ntyp = 3
/
ATOMIC_SPECIES
Gd 157.25 Gd.upf
Hg 200.59 Hg.upf
S 32.06 S.upf
CELL_PARAMETERS angstrom
3.8578 0.0000 0.0000
-1.9289 3.3410 0.0000
0.0000 0.0000 28.0523
ATOMIC_POSITIONS crystal
Gd 0.0000 0.0000 0.0000
Gd 0.3333 0.6667 0.6667
Gd 0.6667 0.3333 0.3333
Hg 0.0000 0.0000 0.1072
Hg 0.0000 0.0000 0.8928
Hg 0.3333 0.6667 0.5594
Hg 0.3333 0.6667 0.7739
Hg 0.6667 0.3333 0.2261
Hg 0.6667 0.3333 0.4406
S 0.0000 0.0000 0.5000
S 0.3333 0.6667 0.1667
S 0.6667 0.3333 0.8333
```

DFT total energy = -54.331 eV per cell
symmetry = No. 166
E_form (uncorrected) = 0.1754 eV per atom